Entry 1:
Below is an optimized crystal structure of InCo2Pd2, with properties calculated at the GGA-PBE level.

Structure (POSCAR):
```
InCo2Pd2
1.0
-0.8636 -7.1471 -0.9676
4.2880 0.2748 -5.8567
2.3082 -0.5045 1.6663
Pd Co In
4 4 2
Direct
0.1829 0.6829 0.5000 Pd
0.8171 0.3171 0.5000 Pd
0.6829 0.8171 0.5000 Pd
0.3171 0.1829 0.5000 Pd
0.6098 0.1098 0.0000 Co
0.3902 0.8902 0.0000 Co
0.1098 0.3902 0.0000 Co
0.8902 0.6098 0.0000 Co
0.0000 0.0000 0.0000 In
0.5000 0.5000 0.0000 In
```

## Properties
DOS at the Fermi energy = 1.31 states/eV/atom
E_form = 0.101 eV/atom
VASP energy = -26.8 eV per formula unit
Total magnetic moment = 4.158 μB per formula unit
SG = P4/mbm

---

Entry 2:
Below is an optimized crystal structure of In3CoPd, with properties calculated at the GGA-PBE level.

Structure (POSCAR):
```
In3CoPd
1.0
4.8487 0.0000 0.0000
0.0000 4.8487 0.0000
0.0000 0.0000 4.8487
In Co Pd
3 1 1
Direct
0.0000 0.5000 0.0000 In
0.5000 0.0000 0.0000 In
0.0000 0.0000 0.5000 In
0.0000 0.0000 0.0000 Co
0.5000 0.5000 0.5000 Pd
```

## Properties
DOS at the Fermi energy = 0.62 states/eV/atom
E_form = 0.198 eV/atom
VASP energy = -19.5 eV per formula unit
Total magnetic moment = 0.000 μB per formula unit
SG = Pm-3m

---

Q: What is the E_form in the second record?
A: 0.198 eV/atom

---

Q: The highest DOS at the Fermi energy belongs to which entry?
A: InCo2Pd2

---

Q: Which of these has the highest total magnetic moment?
A: InCo2Pd2

---

Q: total magnetic moment of number 2 (In3CoPd)?
A: 0.000 μB per formula unit